No. 1
Material: NaIn2PtCl6
Method: DFT, PBE-GGA
State: optimized geometry

uncorrected energy: -31.7 eV/f.u.
theoretical density: 4.139 Mg/m³

Cell: 7.2093 7.2093 7.2093 Å, 60.00 60.00 60.00°
Last column: nearest neighbours and their distance in Å.
Positions (direct):
Cl  0.7362  0.2638  0.2638  1 Pt 2.41, 1 Na 2.69
Cl  0.7362  0.7362  0.2638  1 Pt 2.41, 1 Na 2.69
Cl  0.2638  0.7362  0.2638  1 Pt 2.41, 1 Na 2.69
Cl  0.2638  0.7362  0.7362  1 Pt 2.41, 1 Na 2.69
Cl  0.2638  0.2638  0.7362  1 Pt 2.41, 1 Na 2.69
Cl  0.7362  0.2638  0.7362  1 Pt 2.41, 1 Na 2.69
In  0.2500  0.2500  0.2500  12 Cl 3.61
In  0.7500  0.7500  0.7500  12 Cl 3.61
Na  0.0000  0.0000  0.0000  6 Cl 2.69
Pt  0.5000  0.5000  0.5000  6 Cl 2.41


No. 2
Material: NaTaIn2Cl6
Method: DFT, PBE-GGA
State: optimized geometry

uncorrected energy: -40.3 eV/f.u.
theoretical density: 3.967 Mg/m³

Cell: 7.2596 7.2596 7.2596 Å, 60.00 60.00 60.00°
Last column: nearest neighbours and their distance in Å.
Positions (direct):
Cl  0.7608  0.2392  0.2392  1 Ta 2.46, 1 Na 2.68
Cl  0.2392  0.7608  0.2392  1 Ta 2.46, 1 Na 2.68
Cl  0.7608  0.7608  0.2392  1 Ta 2.46, 1 Na 2.68
Cl  0.7608  0.2392  0.7608  1 Ta 2.46, 1 Na 2.68
Cl  0.2392  0.7608  0.7608  1 Ta 2.46, 1 Na 2.68
Cl  0.2392  0.2392  0.7608  1 Ta 2.46, 1 Na 2.68
In  0.2500  0.2500  0.2500  12 Cl 3.63
In  0.7500  0.7500  0.7500  12 Cl 3.63
Na  0.5000  0.5000  0.5000  6 Cl 2.68
Ta  0.0000  0.0000  0.0000  6 Cl 2.46


No. 3
Material: Nb6InCl15
Method: DFT, PBE-GGA
State: optimized geometry

uncorrected energy: -117.9 eV/f.u.
theoretical density: 3.528 Mg/m³

Cell: 17.9579 13.5130 9.3427 Å, 90.00 90.00 90.00°
Last column: nearest neighbours and their distance in Å.
Positions (direct):
Cl  0.0000  0.2455  0.0000  2 Nb 2.46
Cl  0.5000  0.2455  0.0000  2 Nb 2.46
Cl  0.0000  0.7545  0.0000  2 Nb 2.46
Cl  0.5000  0.7545  0.0000  2 Nb 2.46
Cl  0.1536  0.1251  0.0715  2 Nb 2.46-2.47
Cl  0.3464  0.1251  0.0715  2 Nb 2.46-2.47
Cl  0.1536  0.8749  0.0715  2 Nb 2.46-2.47
Cl  0.3464  0.8749  0.0715  2 Nb 2.46-2.47
Cl  0.1606  0.3753  0.0793  2 Nb 2.45-2.46
Cl  0.3394  0.3753  0.0793  2 Nb 2.45-2.46
Cl  0.1606  0.6247  0.0793  2 Nb 2.45-2.46
Cl  0.3394  0.6247  0.0793  2 Nb 2.45-2.46
Cl  0.7500  0.0000  0.1670  2 Nb 2.63-2.65
Cl  0.7500  0.5000  0.1879  2 Nb 2.77
Cl  0.5933  0.3729  0.2702  2 Nb 2.48-2.49
Cl  0.9067  0.3729  0.2702  2 Nb 2.48-2.49
Cl  0.5933  0.6271  0.2702  2 Nb 2.48-2.49
Cl  0.9067  0.6271  0.2702  2 Nb 2.48-2.49
Cl  0.0574  0.0000  0.3305  2 Nb 2.47
Cl  0.4426  0.0000  0.3305  2 Nb 2.47
Cl  0.0641  0.2503  0.3358  2 Nb 2.66
Cl  0.4359  0.2503  0.3358  2 Nb 2.66
Cl  0.0641  0.7497  0.3358  2 Nb 2.66
Cl  0.4359  0.7497  0.3358  2 Nb 2.66
Cl  0.0698  0.5000  0.3451  2 Nb 2.47
Cl  0.4302  0.5000  0.3451  2 Nb 2.47
Cl  0.2500  0.2555  0.3452  2 Nb 2.47
Cl  0.2500  0.7445  0.3452  2 Nb 2.47
Cl  0.6512  0.1256  0.4043  2 Nb 2.48-2.49
Cl  0.8488  0.1256  0.4043  2 Nb 2.48-2.49
Cl  0.6512  0.8744  0.4043  2 Nb 2.48-2.49
Cl  0.8488  0.8744  0.4043  2 Nb 2.48-2.49
Cl  0.1512  0.1256  0.5957  2 Nb 2.48-2.49
Cl  0.3488  0.1256  0.5957  2 Nb 2.48-2.49
Cl  0.1512  0.8744  0.5957  2 Nb 2.48-2.49
Cl  0.3488  0.8744  0.5957  2 Nb 2.48-2.49
Cl  0.7500  0.2555  0.6548  2 Nb 2.47
Cl  0.7500  0.7445  0.6548  2 Nb 2.47
Cl  0.5698  0.5000  0.6549  2 Nb 2.47
Cl  0.9302  0.5000  0.6549  2 Nb 2.47
Cl  0.5641  0.2503  0.6642  2 Nb 2.66
Cl  0.9359  0.2503  0.6642  2 Nb 2.66
Cl  0.5641  0.7497  0.6642  2 Nb 2.66
Cl  0.9359  0.7497  0.6642  2 Nb 2.66
Cl  0.5574  0.0000  0.6695  2 Nb 2.47
Cl  0.9426  0.0000  0.6695  2 Nb 2.47
Cl  0.0933  0.3729  0.7298  2 Nb 2.48-2.49
Cl  0.4067  0.3729  0.7298  2 Nb 2.48-2.49
Cl  0.0933  0.6271  0.7298  2 Nb 2.48-2.49
Cl  0.4067  0.6271  0.7298  2 Nb 2.48-2.49
Cl  0.2500  0.5000  0.8121  2 Nb 2.77
Cl  0.2500  0.0000  0.8330  2 Nb 2.63-2.65
Cl  0.6606  0.3753  0.9207  2 Nb 2.45-2.46
Cl  0.8394  0.3753  0.9207  2 Nb 2.45-2.46
Cl  0.6606  0.6247  0.9207  2 Nb 2.45-2.46
Cl  0.8394  0.6247  0.9207  2 Nb 2.45-2.46
Cl  0.6536  0.1251  0.9285  2 Nb 2.46-2.47
Cl  0.8464  0.1251  0.9285  2 Nb 2.46-2.47
Cl  0.6536  0.8749  0.9285  2 Nb 2.46-2.47
Cl  0.8464  0.8749  0.9285  2 Nb 2.46-2.47
In  0.7500  0.2548  0.1823  10 Cl 3.24-3.45
In  0.7500  0.7452  0.1823  10 Cl 3.24-3.45
In  0.2500  0.2548  0.8177  10 Cl 3.24-3.45
In  0.2500  0.7452  0.8177  10 Cl 3.24-3.45
Nb  0.6062  0.5000  0.0802  4 Cl 2.45-2.48
Nb  0.8938  0.5000  0.0802  4 Cl 2.45-2.48
Nb  0.2500  0.0000  0.1171  5 Cl 2.46-2.65
Nb  0.0292  0.3909  0.1477  5 Cl 2.46-2.66
Nb  0.4708  0.3909  0.1477  5 Cl 2.46-2.66
Nb  0.0292  0.6091  0.1477  5 Cl 2.46-2.66
Nb  0.4708  0.6091  0.1477  5 Cl 2.46-2.66
Nb  0.1675  0.1097  0.3334  5 Cl 2.47-2.66
Nb  0.3325  0.1097  0.3334  5 Cl 2.47-2.66
Nb  0.1675  0.8903  0.3334  5 Cl 2.47-2.66
Nb  0.3325  0.8903  0.3334  5 Cl 2.47-2.66
Nb  0.7500  0.0000  0.4487  5 Cl 2.49-2.63
Nb  0.2500  0.0000  0.5513  5 Cl 2.49-2.63
Nb  0.6675  0.1097  0.6666  5 Cl 2.47-2.66
Nb  0.8325  0.1097  0.6666  5 Cl 2.47-2.66
Nb  0.6675  0.8903  0.6666  5 Cl 2.47-2.66
Nb  0.8325  0.8903  0.6666  5 Cl 2.47-2.66
Nb  0.5292  0.3909  0.8523  5 Cl 2.46-2.66
Nb  0.9708  0.3909  0.8523  5 Cl 2.46-2.66
Nb  0.5292  0.6091  0.8523  5 Cl 2.46-2.66
Nb  0.9708  0.6091  0.8523  5 Cl 2.46-2.66
Nb  0.7500  0.0000  0.8829  5 Cl 2.46-2.65
Nb  0.1062  0.5000  0.9198  4 Cl 2.45-2.48
Nb  0.3938  0.5000  0.9198  4 Cl 2.45-2.48


No. 4
Material: NbInCl6
Method: DFT, PBE-GGA
State: optimized geometry

uncorrected energy: -33.0 eV/f.u.
theoretical density: 2.980 Mg/m³

Cell: 6.6155 6.6262 7.2532 Å, 90.01 117.11 119.94°
Last column: nearest neighbours and their distance in Å.
Positions (direct):
Cl  0.8018  0.6925  0.2778  1 Nb 2.38
Cl  0.1687  0.4758  0.2779  1 Nb 2.38
Cl  0.5861  0.1096  0.2787  1 Nb 2.39
Cl  0.4139  0.8904  0.7213  1 Nb 2.39
Cl  0.8313  0.5242  0.7221  1 Nb 2.38
Cl  0.1982  0.3075  0.7222  1 Nb 2.38
In  0.0000  0.0000  0.0000  6 Cl 3.11
Nb  0.0000  0.5000  0.5000  6 Cl 2.38-2.39